Entry from the Alexandria database: a geometry-optimized Li4H5Ru structure (PBE).

## Properties
symmetry: I4/m (87)

Cell and atoms, written as POSCAR:
```
Li4H5Ru
1.0
-3.166 3.166 1.968
3.166 -3.166 1.968
3.166 3.166 -1.968
Li H Ru
4 5 1
Direct
0.114 0.284 0.398
0.284 0.886 0.170
0.716 0.114 0.830
0.886 0.716 0.602
0.000 0.000 0.000
0.232 0.566 0.798
0.434 0.232 0.666
0.566 0.768 0.334
0.768 0.434 0.202
0.500 0.500 0.000
```



Entry from the Alexandria database: a geometry-optimized HfBiSe2Br structure (PBE).

## Properties
symmetry: P4/mmm (123)
energy above the lowest structure with this stoichiometry: 0.000 eV per atom
E_form (uncorrected): -422 meV/atom

Cell and atoms, written as POSCAR:
```
HfBiSe2Br
1.0
5.219 0.000 0.000
0.000 5.219 0.000
0.000 0.000 5.174
Hf Bi Se Br
1 1 2 1
Direct
0.000 0.000 0.000
0.500 0.500 0.500
0.000 0.500 0.000
0.500 0.000 0.000
0.000 0.000 0.500
```



Entry from the Alexandria database: a geometry-optimized SrScTl2V structure (PBE).

## Properties
symmetry: P4/mmm (123)

Cell and atoms, written as POSCAR:
```
SrScTl2V
1.0
5.327 0.000 0.000
0.000 5.327 0.000
0.000 0.000 5.197
Sr Sc Tl V
1 1 2 1
Direct
0.000 0.000 0.000
0.500 0.500 0.000
0.000 0.500 0.500
0.500 0.000 0.500
0.000 0.000 0.500
```



Entry from the Alexandria database: a geometry-optimized YSbPb2O6 structure (PBE).

## Properties
symmetry: C2/m (12)
energy above the lowest structure with this stoichiometry: 0.007 eV per atom
E_form (uncorrected): -1868 meV/atom

Cell and atoms, written as POSCAR:
```
YSbPb2O6
1.0
5.075 -2.962 0.000
5.075 2.962 0.000
-3.432 0.000 4.923
Y Sb Pb O
1 1 2 6
Direct
0.000 0.000 0.000
0.500 0.500 0.500
0.246 0.246 0.724
0.754 0.754 0.276
0.212 0.691 0.685
0.267 0.267 0.191
0.309 0.788 0.315
0.691 0.212 0.685
0.733 0.733 0.809
0.788 0.309 0.315
```



Entry from the Alexandria database: a geometry-optimized Pa2Mn2MoN6 structure (PBE).

## Properties
symmetry: C2/m (12)
E_form (uncorrected): -778 meV/atom

Cell and atoms, written as POSCAR:
```
Pa2Mn2MoN6
1.0
2.899 -5.184 0.000
2.899 5.184 0.000
-1.141 0.000 4.680
Pa Mn Mo N
2 2 1 6
Direct
0.159 0.841 0.000
0.841 0.159 0.000
0.379 0.621 0.500
0.621 0.379 0.500
0.500 0.500 0.000
0.137 0.464 0.772
0.259 0.259 0.270
0.464 0.137 0.772
0.536 0.863 0.228
0.741 0.741 0.730
0.863 0.536 0.228
```



The following final energy values (in eV per atom) correspond, in order, to the records above: -3.77 -4.92 -3.65 -6.64 -9.70.
The following total magnetization values (in μB per formula unit) correspond, in order, to the records above: 0.00 0.00 0.78 0.00 5.64.